RbInS2 | PBE | optimized geometry

Computed properties:
crystal system = triclinic
ρ = 3.79 g/cm3
DOS at the Fermi energy = 0.0 states/eV/f.u.

Cell: 9.0410 3.7827 7.0752 Å, 104.95 96.98 90.00°
Atoms (fractional coordinates):
S  0.6228  0.3138  0.2956
S  0.8827  0.0374  0.7582
S  0.4910  0.0197  0.7227
S  0.2311  0.2960  0.2599
Rb  0.1998  0.5574  0.7993
Rb  0.9140  0.7761  0.2188
In  0.4217  0.8395  0.3492
In  0.6920  0.4940  0.6690

***

RbInS2 | PBE | optimized geometry

Computed properties:
crystal system = monoclinic
ρ = 3.27 g/cm3
DOS at the Fermi energy = 0.0 states/eV/f.u.

Cell: 7.7308 6.9770 7.7777 Å, 117.09 126.56 53.76°
Atoms (fractional coordinates):
In  0.9586  0.0630  0.3112
In  0.4908  0.5950  0.3434
Rb  0.3496  0.4544  0.7022
Rb  0.0998  0.2036  0.9522
S  0.3708  0.9138  0.6276
S  0.6402  0.1831  0.3972
S  0.0786  0.7442  0.0268
S  0.8092  0.4749  0.2572

***

RbInS2 | PBE | optimized geometry

Computed properties:
crystal system = orthorhombic
ρ = 3.17 g/cm3
DOS at the Fermi energy = 0.0 states/eV/f.u.

Cell: 11.1138 11.1138 5.4275 Å, 90.00 90.00 155.56°
Atoms (fractional coordinates):
Rb  0.3254  0.6746  0.2500
Rb  0.6746  0.3254  0.7500
S  0.8294  0.1706  0.7500
S  0.9512  0.0488  0.2500
S  0.1706  0.8294  0.2500
S  0.0488  0.9512  0.7500
In  0.9372  0.0628  0.7500
In  0.0628  0.9372  0.2500

***

RbInS2 | PBE | optimized geometry

Computed properties:
crystal system = orthorhombic
ρ = 3.46 g/cm3
DOS at the Fermi energy = 0.2 states/eV/f.u.

Cell: 10.5107 10.5107 6.3517 Å, 90.00 90.00 158.80°
Atoms (fractional coordinates):
S  0.2053  0.7947  0.2500
S  0.8987  0.1013  0.2500
S  0.7947  0.2053  0.7500
S  0.1013  0.8987  0.7500
Rb  0.9365  0.0635  0.7500
Rb  0.0635  0.9365  0.2500
In  0.3178  0.6822  0.2500
In  0.6822  0.3178  0.7500

***

RbInS2 | PBE | optimized geometry

Computed properties:
crystal system = orthorhombic
ρ = 3.86 g/cm3
DOS at the Fermi energy = 0.0 states/eV/f.u.

Cell: 3.9668 7.7491 3.9669 Å, 75.15 90.08 104.85°
Atoms (fractional coordinates):
In  0.9107  0.8703  0.4206
S  0.8038  0.6568  0.0274
S  0.5174  0.0839  0.3142
Rb  0.1607  0.3703  0.6709

***

RbInS2 | PBE | optimized geometry

Computed properties:
crystal system = monoclinic
ρ = 3.72 g/cm3
DOS at the Fermi energy = 0.0 states/eV/f.u.

Cell: 6.9796 3.8172 8.9638 Å, 89.99 81.68 89.99°
Atoms (fractional coordinates):
Rb  0.7676  0.0897  0.1570
Rb  0.3279  0.5896  0.8612
S  0.2743  0.0893  0.1750
S  0.8213  0.5896  0.8432
S  0.2619  0.0895  0.5670
S  0.8337  0.5896  0.4513
In  0.2013  0.5892  0.3683
In  0.8943  0.0895  0.6499

***

RbInS2 | PBE | optimized geometry

Computed properties:
crystal system = tetragonal
ρ = 4.02 g/cm3
DOS at the Fermi energy = 3.0 states/eV/f.u.

Cell: 4.2658 4.2658 6.0043 Å, 90.00 90.00 90.00°
Last column: magnetic moment on the atom in μB.
Atoms (fractional coordinates):
S  0.5000  0.5000  0.5000  0.17
S  0.0000  0.0000  0.0000  0.00
Rb  0.0000  0.0000  0.5000  0.02
In  0.5000  0.5000  0.0000  -0.01

***

RbInS2 | PBE | optimized geometry

Computed properties:
crystal system = orthorhombic
ρ = 3.58 g/cm3
DOS at the Fermi energy = 0.0 states/eV/f.u.

Cell: 6.8529 3.8199 18.7623 Å, 90.00 90.00 90.00°
Atoms (fractional coordinates):
S  0.6714  0.2500  0.6571
S  0.7725  0.7500  0.9714
S  0.3286  0.7500  0.3429
S  0.8286  0.7500  0.1571
S  0.2725  0.7500  0.5286
S  0.1714  0.2500  0.8429
S  0.2275  0.2500  0.0286
S  0.7275  0.2500  0.4714
In  0.1330  0.7500  0.9336
In  0.8670  0.2500  0.0664
In  0.6330  0.7500  0.5664
In  0.3670  0.2500  0.4336
Rb  0.8387  0.7500  0.3342
Rb  0.3387  0.7500  0.1658
Rb  0.1613  0.2500  0.6657
Rb  0.6613  0.2500  0.8342

***

RbInS2 | PBE | optimized geometry

Computed properties:
crystal system = trigonal
ρ = 3.54 g/cm3
DOS at the Fermi energy = 1.7 states/eV/f.u.

Cell: 4.2143 4.2143 8.0632 Å, 90.00 90.00 120.00°
Atoms (fractional coordinates):
S  0.6667  0.3333  0.3042
S  0.3333  0.6667  0.7333
Rb  0.0000  0.0000  0.9708
In  0.3333  0.6667  0.4467

***

RbInS6 | PBE | optimized geometry

Computed properties:
crystal system = triclinic
ρ = 2.83 g/cm3

Cell: 7.2560 8.6150 8.2301 Å, 72.89 149.72 115.47°
Atoms (fractional coordinates):
In  0.0000  0.0000  0.0000
S  0.1090  0.2459  0.6808
S  0.1582  0.3260  0.9359
S  0.2910  0.0068  0.5353
S  0.8418  0.6740  0.0641
S  0.8910  0.7541  0.3192
S  0.7090  0.9932  0.4647
Rb  0.5000  0.5000  0.5000

***

RbIn2S3 | PBE | optimized geometry

Computed properties:
crystal system = orthorhombic
ρ = 4.16 g/cm3
DOS at the Fermi energy = 0.4 states/eV/f.u.

Cell: 3.8180 7.1550 12.0338 Å, 90.00 90.00 90.00°
Atoms (fractional coordinates):
S  0.5000  0.2667  0.7089
S  0.5000  0.1510  0.1268
S  0.5000  0.7667  0.2911
S  0.0000  0.2165  0.4305
S  0.5000  0.6510  0.8732
S  0.0000  0.7165  0.5695
Rb  0.0000  0.5313  0.1025
Rb  0.0000  0.0313  0.8975
In  0.0000  0.0189  0.2501
In  0.0000  0.5189  0.7499
In  0.5000  0.0169  0.5433
In  0.5000  0.5169  0.4567

***

RbInS2 | PBE | optimized geometry

Computed properties:
crystal system = orthorhombic
ρ = 3.90 g/cm3
DOS at the Fermi energy = 0.0 states/eV/f.u.

Cell: 7.6759 4.4468 13.1987 Å, 90.00 90.00 90.00°
Atoms (fractional coordinates):
S  0.1391  0.7500  0.2343
S  0.3328  0.2500  0.0384
S  0.6672  0.7500  0.9616
S  0.8328  0.2500  0.4616
S  0.1672  0.7500  0.5384
S  0.6391  0.7500  0.2657
S  0.8609  0.2500  0.7657
S  0.3609  0.2500  0.7343
Rb  0.8841  0.2500  0.1304
Rb  0.6159  0.7500  0.6304
Rb  0.3841  0.2500  0.3696
Rb  0.1159  0.7500  0.8696
In  0.5577  0.2500  0.8799
In  0.9423  0.7500  0.3799
In  0.4423  0.7500  0.1201
In  0.0577  0.2500  0.6201

***

| no. | magnetization (μB/atom) | formation energy (no corrections) (eV per atom) |
| --- | --- | --- |
| 1 | 0.0000 | -0.862 |
| 2 | 0.0000 | -0.910 |
| 3 | 0.0000 | -0.702 |
| 4 | 0.0000 | -0.526 |
| 5 | 0.0000 | -0.896 |
| 6 | 0.0000 | -0.866 |
| 7 | 0.0700 | -0.290 |
| 8 | 0.0000 | -0.836 |
| 9 | 0.0000 | -0.681 |
| 10 | 0.0000 | -0.290 |
| 11 | 0.0000 | -0.662 |
| 12 | 0.0000 | -0.816 |